1.
Material: K2ThRe2N6
Method: DFT, PBE-GGA
State: relaxed

```
11
Lattice="6.291 0.000 0.000 -3.146 5.453 -0.369 0.000 -3.549 6.580" Properties=species:S:1:pos:R:3 pbc="T T T"
N 0.000 1.411 2.043
N -1.642 4.294 1.265
N 4.787 -2.391 4.947
N 1.642 4.294 1.265
N 3.146 0.492 4.168
N 1.504 -2.391 4.947
K 0.000 0.246 5.195
K 3.146 1.658 1.017
Re 3.146 2.129 4.877
Re 0.000 -0.226 1.334
Th 3.146 -1.775 3.290
```

Computed properties:
Symmetry ... No. 12
DFT total energy ... -90.3 eV for the cell shown
Formation energy without anion corrections ... -0.534 eV per atom

=====

2.
Material: KThReN4
Method: DFT, PBE-GGA
State: relaxed

```
14
Lattice="-3.179 -3.990 -3.692 3.082 -4.599 2.316 -4.929 -0.192 6.177" Properties=species:S:1:pos:R:3 pbc="T T T"
N -4.741 -3.327 3.590
N -0.405 -2.808 2.948
N -3.175 -3.443 1.275
N -4.622 -5.973 1.853
N -6.079 -3.798 0.758
N -1.851 -5.338 3.526
N -0.286 -5.454 1.211
N 1.053 -4.982 4.043
K -0.866 -2.549 -0.022
K -4.160 -6.232 4.823
Th -2.366 -6.709 1.487
Th -2.661 -2.072 3.314
Re -4.697 -4.125 1.947
Re -0.329 -4.656 2.854
```

Computed properties:
Symmetry ... No. 11
DFT total energy ... -118.7 eV for the cell shown
Formation energy without anion corrections ... -0.729 eV per atom